# 1
Material: CsLi3Be
Method: DFT, PBE
State: relaxed

Cell and atoms, written as extended XYZ:
```
5
Lattice="5.2874 0.0000 0.0000 0.0000 5.2874 0.0000 0.0000 0.0000 5.2874" Properties=species:S:1:pos:R:3 pbc="T T T"
Cs 0.0000 0.0000 0.0000
Li 0.0000 2.6437 2.6437
Li 2.6437 0.0000 2.6437
Li 2.6437 2.6437 0.0000
Be 2.6437 2.6437 2.6437
```

## Properties
Total energy in eV/atom: -1.621
Relative energy among the computed polymorphs in eV/f.u.: 0.00
Fermi-level density of states in states/eV/f.u.: 4.2
Calculated formation energy in eV/atom: 0.4429


# 2
Material: Be2SnOs
Method: DFT, PBE
State: relaxed

Cell and atoms, written as extended XYZ:
```
8
Lattice="-1.9797 1.9797 8.1521 1.9797 -1.9797 8.1521 1.9797 1.9797 -8.1521" Properties=species:S:1:pos:R:3 pbc="T T T"
Be 0.2908 0.9898 2.0380
Be -0.9898 1.6889 6.1141
Be -0.2908 2.9695 2.0380
Be 0.9898 2.2704 6.1141
Sn 1.9797 0.0000 4.0760
Sn 0.0000 0.0000 8.1521
Os 0.0000 0.0000 0.0000
Os 0.0000 1.9797 4.0760
```

## Properties
Total energy in eV/atom: -5.151
Fermi-level density of states in states/eV/f.u.: 1.8
Calculated formation energy in eV/atom: 0.5199